1.
Here is crystalline Sr2SnAs at its relaxed geometry from Alexandria. Energies are from PBE-GGA.

## Properties
Energy relative to the lowest polymorph listed for this composition   270.8 meV per atom
Formation energy from the elements   -0.4698 eV per atom

Geometry as POSCAR:
```
Sr2SnAs
1.0
4.417 0.000 0.000
2.209 3.826 0.000
2.209 1.275 10.206
Sr As Sn
2 1 1
Cartesian
2.209 1.275 6.741
6.626 3.826 3.466
4.417 2.550 5.103
0.000 0.000 0.000
```

2.
Here is crystalline Tb3Tl2In2 at its relaxed geometry from Alexandria. Energies are from PBE-GGA.

## Properties
Energy relative to the lowest polymorph listed for this composition   35.5 meV per atom
Formation energy from the elements   -0.3314 eV per atom

Geometry as POSCAR:
```
Tb3Tl2In2
1.0
4.886 0.000 0.000
0.000 3.724 0.000
-2.443 -1.862 10.555
Tb Tl In
3 2 2
Cartesian
0.000 0.000 0.000
2.443 0.000 4.143
0.000 1.862 6.413
0.000 1.862 3.203
2.443 0.000 7.352
2.443 1.862 1.423
0.000 0.000 9.133
```

3.
Here is crystalline Ba2YRe at its relaxed geometry from Alexandria. Energies are from PBE-GGA.

## Properties
Energy relative to the lowest polymorph listed for this composition   142.5 meV per atom
Formation energy from the elements   0.6980 eV per atom

Geometry as POSCAR:
```
Ba2YRe
1.0
-4.562 5.662 -0.629
-2.452 2.065 -6.556
0.516 -4.987 5.303
Ba Re Y
2 1 1
Cartesian
-0.028 0.030 -0.028
-3.340 1.789 0.987
-3.389 3.734 -3.472
-3.247 1.051 -2.962
```

4.
Here is crystalline Cs2CdPdBr6 at its relaxed geometry from Alexandria. Energies are from PBE-GGA.

## Properties
Energy relative to the lowest polymorph listed for this composition   0.0 meV per atom

Geometry as POSCAR:
```
Cs2CdPdBr6
1.0
-6.576 0.097 4.219
-2.742 -6.037 -4.135
-2.283 -6.644 3.830
Cs Br Pd Cd
2 6 1 1
Cartesian
-6.759 -4.759 4.046
-4.842 -7.825 -0.132
-3.331 -5.023 2.159
-8.270 -7.561 1.755
-2.553 -1.628 0.023
-6.765 -4.312 0.061
-5.526 -1.584 1.930
-3.793 -4.356 -1.846
-4.659 -2.970 0.042
0.000 0.000 0.000
```

5.
Here is crystalline PaReS2 at its relaxed geometry from Alexandria. Energies are from PBE-GGA.

Geometry as POSCAR:
```
PaReS2
1.0
-1.305 2.499 1.460
-2.823 1.097 -0.950
-5.337 -4.142 5.771
Re S Pa
1 2 1
Cartesian
0.000 0.000 0.000
-4.299 -2.743 4.304
-5.165 2.197 1.978
-4.732 -0.273 3.141
```

6.
Here is crystalline NdY5Ho2 at its relaxed geometry from Alexandria. Energies are from PBE-GGA.

## Properties
Formation energy from the elements   0.1360 eV per atom

Geometry as POSCAR:
```
NdY5Ho2
1.0
-4.448 2.016 -2.698
-1.377 -3.537 5.393
0.630 13.132 8.774
Nd Y Ho
2 10 4
Cartesian
-3.396 9.702 7.080
-1.797 1.910 4.389
-4.681 10.794 10.012
-4.879 6.666 7.255
-2.454 4.006 7.038
-2.708 -1.288 3.502
-2.382 4.069 1.199
-2.811 7.542 10.270
-2.739 7.606 4.431
-2.485 12.899 7.967
-0.513 0.818 1.457
-0.315 4.946 4.214
-4.026 4.442 4.187
-4.178 1.281 2.075
-1.168 7.170 7.282
-1.016 10.331 9.394
```

7.
Here is crystalline LaTi3Si at its relaxed geometry from Alexandria. Energies are from PBE-GGA.

## Properties
Energy relative to the lowest polymorph listed for this composition   1178.8 meV per atom

Geometry as POSCAR:
```
LaTi3Si
1.0
-2.122 3.723 -1.984
-4.218 -1.829 1.080
0.083 2.258 4.147
Si Ti La
1 3 1
Cartesian
-3.129 2.076 1.621
-2.109 -0.914 0.540
0.041 1.129 2.074
-1.061 1.862 -0.992
0.000 0.000 0.000
```

8.
Here is crystalline Ba2TiGaSe5 at its relaxed geometry from Alexandria. Energies are from PBE-GGA.

Geometry as POSCAR:
```
Ba2TiGaSe5
1.0
4.166 0.000 0.000
-2.083 9.401 0.000
0.000 0.000 13.118
Ba Ti Ga Se
4 2 2 10
Cartesian
2.083 6.918 10.644
0.000 2.348 9.085
0.000 2.483 4.085
2.083 7.053 2.526
2.083 5.420 6.871
0.000 3.981 0.312
2.083 1.211 12.292
0.000 8.190 5.733
0.000 6.457 0.067
2.083 3.604 11.603
2.083 0.024 10.217
0.000 5.565 8.500
2.083 8.295 7.120
2.083 2.944 6.626
0.000 5.797 5.044
0.000 9.377 3.658
2.083 3.836 1.941
0.000 1.106 0.561
```

no.,total magnetization (μB/cell),VASP energy (eV for the cell shown)
1,0.6,-13.90
2,0.7,-26.42
3,0.2,-19.97
4,0.0,-28.43
5,0.0,-30.79
6,0.0,-90.31
7,0.0,-27.24
8,1.9,-89.21